Density functional theory data (PBE-GGA) for an optimized crystal structure of Y2AlAu.

The volume is 26.20 Å³ per atom. Its density of states at the Fermi level is 6.719 states/eV/cell. Its total magnetic moment is 0.00 μB/f.u. Its formation energy is -0.373 eV per atom.

It has space group C2/m (No. 12), with a = 8.948 Å, b = 3.788 Å, c = 6.410 Å, α = 90.00°, β = 105.27° and γ = 90.00°. The distinct sites, in fractional coordinates, are Y at (0.244, 0.000, 0.244), Al at (0.000, 0.000, 0.500) and Au at (0.000, 0.500, 0.000).

***

Density functional theory data (PBE-GGA) for an optimized crystal structure of Y2AlAu.

The volume is 24.66 Å³ per atom. Its density of states at the Fermi level is 5.411 states/eV/cell. Its total magnetic moment is 0.00 μB/f.u. Its formation energy is -0.628 eV per atom.

It has space group P2_1/m (No. 11), with a = 5.986 Å, b = 4.488 Å, c = 7.827 Å, α = 90.00°, β = 110.21° and γ = 90.00°. The distinct sites, in fractional coordinates, are Y at (0.198, 0.250, 0.431), Y at (0.218, 0.250, 0.918), Al at (0.338, 0.750, 0.215) and Au at (0.364, 0.750, 0.708).

***

Density functional theory data (PBE-GGA) for an optimized crystal structure of Y4Al3Au.

The volume is 23.55 Å³ per atom. Its density of states at the Fermi level is 4.922 states/eV/cell. Its total magnetic moment is 0.00 μB/f.u. Its formation energy is -0.518 eV per atom.

It has space group P4/mmm (No. 123), with a = 3.607 Å, b = 3.607 Å, c = 14.485 Å, α = 90.00°, β = 90.00° and γ = 90.00°. The distinct sites, in fractional coordinates, are Y at (0.000, 0.000, 0.124), Y at (0.000, 0.000, 0.376), Al at (0.500, 0.500, 0.000), Al at (0.500, 0.500, 0.248) and Au at (0.500, 0.500, 0.500).

***

Density functional theory data (PBE-GGA) for an optimized crystal structure of Y2AlAu.

The volume is 27.38 Å³ per atom. Its density of states at the Fermi level is 15.316 states/eV/cell. Its total magnetic moment is 0.00 μB/f.u. Its formation energy is 0.053 eV per atom.

It has space group I-42d (No. 122), with a = 4.693 Å, b = 4.693 Å, c = 19.890 Å, α = 90.00°, β = 90.00° and γ = 90.00°. The distinct sites, in fractional coordinates, are Y at (0.249, 0.250, 0.125), Al at (0.000, 0.000, 0.000) and Au at (0.000, 0.000, 0.500).

***

Density functional theory data (PBE-GGA) for an optimized crystal structure of YAl4Au2.

The volume is 18.50 Å³ per atom. Its density of states at the Fermi level is 7.862 states/eV/cell. Its total magnetic moment is 0.00 μB/f.u. Its formation energy is -0.584 eV per atom.

It has space group Pnma (No. 62), with a = 17.315 Å, b = 4.338 Å, c = 6.896 Å, α = 90.00°, β = 90.00° and γ = 90.00°. The distinct sites, in fractional coordinates, are Y at (0.141, 0.250, 0.013), Al at (0.035, 0.750, 0.857), Al at (0.067, 0.250, 0.475), Al at (0.184, 0.750, 0.327), Al at (0.189, 0.750, 0.730), Au at (0.036, 0.750, 0.249) and Au at (0.217, 0.250, 0.533).

***

Density functional theory data (PBE-GGA) for an optimized crystal structure of Y2AlAu.

The volume is 25.56 Å³ per atom. Its density of states at the Fermi level is 3.628 states/eV/cell. Its total magnetic moment is 0.00 μB/f.u. Its formation energy is -0.373 eV per atom.

It has space group Pmm2 (No. 25), with a = 3.683 Å, b = 4.538 Å, c = 6.118 Å, α = 90.00°, β = 90.00° and γ = 90.00°. The distinct sites, in fractional coordinates, are Y at (0.000, 0.000, 0.000), Y at (0.500, 0.500, 0.366), Al at (0.000, 0.000, 0.498) and Au at (0.500, 0.500, 0.855).

***

Density functional theory data (PBE-GGA) for an optimized crystal structure of Y2AlAu2.

The volume is 24.27 Å³ per atom. Its density of states at the Fermi level is 7.441 states/eV/cell. Its total magnetic moment is 0.00 μB/f.u. Its formation energy is -0.475 eV per atom.

It has space group P4/mbm (No. 127), with a = 8.200 Å, b = 8.200 Å, c = 3.610 Å, α = 90.00°, β = 90.00° and γ = 90.00°. The distinct sites, in fractional coordinates, are Y at (0.162, 0.338, 0.000), Al at (0.000, 0.000, 0.000) and Au at (0.132, 0.632, 0.500).

***

Density functional theory data (PBE-GGA) for an optimized crystal structure of Y2Al5Au3.

The volume is 19.25 Å³ per atom. Its density of states at the Fermi level is 15.317 states/eV/cell. Its total magnetic moment is 0.00 μB/f.u. Its formation energy is -0.667 eV per atom.

It has space group Cmc2_1 (No. 36), with a = 4.372 Å, b = 25.219 Å, c = 6.985 Å, α = 90.00°, β = 90.00° and γ = 90.00°. The distinct sites, in fractional coordinates, are Y at (0.000, 0.018, 0.000), Y at (0.000, 0.326, 0.987), Al at (0.000, 0.103, 0.653), Al at (0.000, 0.207, 0.175), Al at (0.000, 0.208, 0.773), Al at (0.000, 0.379, 0.506), Al at (0.000, 0.447, 0.827), Au at (0.000, 0.109, 0.263), Au at (0.000, 0.275, 0.472) and Au at (0.000, 0.449, 0.216).

***

Copy entry 7 word for word.
Density functional theory data (PBE-GGA) for an optimized crystal structure of Y2AlAu2.

The volume is 24.27 Å³ per atom. Its density of states at the Fermi level is 7.441 states/eV/cell. Its total magnetic moment is 0.00 μB/f.u. Its formation energy is -0.475 eV per atom.

It has space group P4/mbm (No. 127), with a = 8.200 Å, b = 8.200 Å, c = 3.610 Å, α = 90.00°, β = 90.00° and γ = 90.00°. The distinct sites, in fractional coordinates, are Y at (0.162, 0.338, 0.000), Al at (0.000, 0.000, 0.000) and Au at (0.132, 0.632, 0.500).

***

What did the first record say?
Density functional theory data (PBE-GGA) for an optimized crystal structure of Y2AlAu.

The volume is 26.20 Å³ per atom. Its density of states at the Fermi level is 6.719 states/eV/cell. Its total magnetic moment is 0.00 μB/f.u. Its formation energy is -0.373 eV per atom.

It has space group C2/m (No. 12), with a = 8.948 Å, b = 3.788 Å, c = 6.410 Å, α = 90.00°, β = 105.27° and γ = 90.00°. The distinct sites, in fractional coordinates, are Y at (0.244, 0.000, 0.244), Al at (0.000, 0.000, 0.500) and Au at (0.000, 0.500, 0.000).

***

Which of these has the highest volume? number 4